# 1
A plane-wave DFT calculation with PBE was carried out for a relaxed structure of PaMnInTc.

Summary:
Total moment in μB/f.u.: 2.11
Calculated density in g cm⁻³: 11.27
DOS at the Fermi energy in states/eV per cell: 12.1
Total energy in eV/atom: -7.941
Volume in Å³ per atom: 18.38

Structure (CIF):
```
data_PaMnInTc
_chemical_formula_sum 'Pa4 Mn4 In4 Tc4'
_space_group_name_H-M_alt 'F -4 3 m'
_space_group_IT_number 216
_space_group_name_Hall 'F -4 2 3'
_cell_length_a 6.650
_cell_length_b 6.650
_cell_length_c 6.650
_cell_angle_alpha 90.00
_cell_angle_beta 90.00
_cell_angle_gamma 90.00
loop_
_atom_site_label
_atom_site_fract_x
_atom_site_fract_y
_atom_site_fract_z
Pa1 0.000 0.000 0.000
Mn1 0.250 0.250 0.250
In1 0.000 0.000 0.500
Tc1 0.250 0.250 0.750
```

---

# 2
A plane-wave DFT calculation with PBE was carried out for a relaxed structure of MnInPb2.

Summary:
Total moment in μB/f.u.: 4.19
Calculated density in g cm⁻³: 9.11
DOS at the Fermi energy in states/eV per cell: 9.2
Total energy in eV/atom: -4.457
Volume in Å³ per atom: 26.62

Structure (CIF):
```
data_MnInPb2
_chemical_formula_sum 'Mn4 In4 Pb8'
_space_group_name_H-M_alt 'F -4 3 m'
_space_group_IT_number 216
_space_group_name_Hall 'F -4 2 3'
_cell_length_a 7.524
_cell_length_b 7.524
_cell_length_c 7.524
_cell_angle_alpha 90.00
_cell_angle_beta 90.00
_cell_angle_gamma 90.00
loop_
_atom_site_label
_atom_site_fract_x
_atom_site_fract_y
_atom_site_fract_z
Mn1 0.000 0.000 0.000
In1 0.250 0.250 0.750
Pb1 0.000 0.000 0.500
Pb2 0.250 0.250 0.250
```

---

# 3
A plane-wave DFT calculation with PBE was carried out for a relaxed structure of MnInPb2.

Summary:
Total moment in μB/f.u.: 4.07
Calculated density in g cm⁻³: 9.18
DOS at the Fermi energy in states/eV per cell: 2.1
Total energy in eV/atom: -4.470
Volume in Å³ per atom: 26.41

Structure (CIF):
```
data_MnInPb2
_chemical_formula_sum 'Mn1 In1 Pb2'
_space_group_name_H-M_alt 'P m m m'
_space_group_IT_number 47
_space_group_name_Hall '-P 2 2'
_cell_length_a 3.554
_cell_length_b 5.312
_cell_length_c 5.596
_cell_angle_alpha 90.00
_cell_angle_beta 90.00
_cell_angle_gamma 90.00
loop_
_atom_site_label
_atom_site_fract_x
_atom_site_fract_y
_atom_site_fract_z
Mn1 0.000 0.000 0.000
In1 0.500 0.000 0.500
Pb1 0.000 0.500 0.500
Pb2 0.500 0.500 0.000
```

---

# 4
A plane-wave DFT calculation with PBE was carried out for a relaxed structure of MnInPb2.

Summary:
Total moment in μB/f.u.: 4.06
Calculated density in g cm⁻³: 8.77
DOS at the Fermi energy in states/eV per cell: 10.7
Total energy in eV/atom: -4.416
Volume in Å³ per atom: 27.65

Structure (CIF):
```
data_MnInPb2
_chemical_formula_sum 'Mn4 In4 Pb8'
_space_group_name_H-M_alt 'I -4 2 d'
_space_group_IT_number 122
_space_group_name_Hall 'I -4 2bw'
_cell_length_a 4.553
_cell_length_b 4.553
_cell_length_c 21.338
_cell_angle_alpha 90.00
_cell_angle_beta 90.00
_cell_angle_gamma 90.00
loop_
_atom_site_label
_atom_site_fract_x
_atom_site_fract_y
_atom_site_fract_z
Mn1 0.000 0.000 0.000
In1 0.000 0.000 0.500
Pb1 0.238 0.250 0.125
```

---

# 5
A plane-wave DFT calculation with PBE was carried out for a relaxed structure of MnInPb2.

Summary:
Total moment in μB/f.u.: 4.30
Calculated density in g cm⁻³: 9.34
DOS at the Fermi energy in states/eV per cell: 2.5
Total energy in eV/atom: -4.514
Volume in Å³ per atom: 25.96

Structure (CIF):
```
data_MnInPb2
_chemical_formula_sum 'Mn1 In1 Pb2'
_space_group_name_H-M_alt 'P 4/m m m'
_space_group_IT_number 123
_space_group_name_Hall '-P 4 2'
_cell_length_a 4.859
_cell_length_b 4.859
_cell_length_c 4.399
_cell_angle_alpha 90.00
_cell_angle_beta 90.00
_cell_angle_gamma 90.00
loop_
_atom_site_label
_atom_site_fract_x
_atom_site_fract_y
_atom_site_fract_z
Mn1 0.000 0.000 0.000
In1 0.500 0.500 0.000
Pb1 0.000 0.500 0.500
```

---

# 6
A plane-wave DFT calculation with PBE was carried out for a relaxed structure of MnInPb2.

Summary:
Total moment in μB/f.u.: 4.13
Calculated density in g cm⁻³: 9.34
DOS at the Fermi energy in states/eV per cell: 5.5
Total energy in eV/atom: -4.506
Volume in Å³ per atom: 25.97

Structure (CIF):
```
data_MnInPb2
_chemical_formula_sum 'Mn2 In2 Pb4'
_space_group_name_H-M_alt 'I 4/m m m'
_space_group_IT_number 139
_space_group_name_Hall '-I 4 2'
_cell_length_a 4.705
_cell_length_b 4.705
_cell_length_c 9.385
_cell_angle_alpha 90.00
_cell_angle_beta 90.00
_cell_angle_gamma 90.00
loop_
_atom_site_label
_atom_site_fract_x
_atom_site_fract_y
_atom_site_fract_z
Mn1 0.000 0.000 0.000
In1 0.000 0.000 0.500
Pb1 0.000 0.500 0.250
```

---

Look up the volume of the second one.
26.62 Å³ per atom